A PBEsol-optimized structure of TcSe2IBr, computed with meta-GGA SCAN.

Properties
**Spin magnetization**: 5.2 μB per cell
**D(E_F)**: 0.8 states/eV per cell
**Raw formation energy**: 117 kJ per mole of atoms
**Mass density**: 4.93 Mg/m³

Lattice parameters (Å, degrees): 5.388 5.388 5.374 90.00 90.00 90.00
Fractional coordinates of all 5 atoms:
Br1 0.000 0.000 0.500
Se1 0.000 0.500 0.000
Se2 0.500 0.000 0.000
Tc1 0.500 0.500 0.500
I1 0.000 0.000 0.000

=====

A PBEsol-optimized structure of TeSeIBr2, computed with meta-GGA SCAN.

Properties
**Spin magnetization**: 2.7 μB per cell
**D(E_F)**: 2.7 states/eV per cell
**Raw formation energy**: 58 kJ per mole of atoms
**Mass density**: 4.81 Mg/m³

Lattice parameters (Å, degrees): 5.381 5.628 5.628 90.00 90.00 90.00
Fractional coordinates of all 5 atoms:
Te1 0.500 0.500 0.500
Br1 0.000 0.500 0.000
Se1 0.500 0.000 0.000
Br2 0.000 0.000 0.500
I1 0.000 0.000 0.000

=====

A PBEsol-optimized structure of SiIBr2, computed with meta-GGA SCAN.

Properties
**Spin magnetization**: 0.0 μB per cell
**D(E_F)**: 3.0 states/eV per cell
**Raw formation energy**: 2 kJ per mole of atoms
**Mass density**: 4.03 Mg/m³

Lattice parameters (Å, degrees): 3.665 3.665 11.358 80.72 80.72 60.00
Fractional coordinates of all 4 atoms:
Br1 0.883 0.883 0.351
Br2 0.117 0.117 0.649
I1 0.000 0.000 0.000
Si1 0.500 0.500 0.500

=====

A PBEsol-optimized structure of Si2IBr, computed with meta-GGA SCAN.

Properties
**Spin magnetization**: 0.0 μB per cell
**D(E_F)**: 2.4 states/eV per cell
**Raw formation energy**: 77 kJ per mole of atoms
**Mass density**: 4.34 Mg/m³

Lattice parameters (Å, degrees): 6.426 6.426 6.426 105.50 105.50 117.74
Fractional coordinates of all 8 atoms:
I1 0.250 0.750 0.500
Br1 0.500 0.500 0.000
Br2 0.750 0.250 0.500
Si1 0.385 0.375 0.510
I2 0.000 0.000 0.000
Si2 0.125 0.615 0.990
Si3 0.865 0.875 0.490
Si4 0.625 0.135 0.010

=====

A PBEsol-optimized structure of SiTe2IBr, computed with meta-GGA SCAN.

Properties
**Spin magnetization**: 0.0 μB per cell
**D(E_F)**: 4.4 states/eV per cell
**Raw formation energy**: 43 kJ per mole of atoms
**Mass density**: 5.55 Mg/m³

Lattice parameters (Å, degrees): 5.254 5.254 5.316 90.00 90.00 90.00
Fractional coordinates of all 5 atoms:
Te1 0.000 0.500 0.000
Br1 0.500 0.500 0.500
Te2 0.500 0.000 0.000
Si1 0.000 0.000 0.000
I1 0.000 0.000 0.500

=====

A PBEsol-optimized structure of SnIBr2, computed with meta-GGA SCAN.

Properties
**Spin magnetization**: 0.0 μB per cell
**D(E_F)**: 4.5 states/eV per cell
**Raw formation energy**: -31 kJ per mole of atoms
**Mass density**: 4.99 Mg/m³

Lattice parameters (Å, degrees): 5.923 7.370 7.370 80.71 66.30 66.30
Fractional coordinates of all 8 atoms:
I1 0.750 0.500 0.500
Sn1 0.500 0.000 0.000
Br1 0.517 0.608 0.108
Br2 0.233 0.392 0.892
Br3 0.875 0.892 0.608
Sn2 0.250 0.500 0.500
I2 0.000 0.000 0.000
Br4 0.375 0.108 0.392

=====

A PBEsol-optimized structure of TcIBr2, computed with meta-GGA SCAN.

Properties
**Spin magnetization**: 1.2 μB per cell
**D(E_F)**: 2.6 states/eV per cell
**Raw formation energy**: 5 kJ per mole of atoms
**Mass density**: 5.61 Mg/m³

Lattice parameters (Å, degrees): 3.491 3.491 10.971 80.85 80.85 60.00
Fractional coordinates of all 4 atoms:
Br1 0.881 0.881 0.357
Tc1 0.500 0.500 0.500
I1 0.000 0.000 0.000
Br2 0.119 0.119 0.643

=====

A PBEsol-optimized structure of TeIBr2, computed with meta-GGA SCAN.

Properties
**Spin magnetization**: 1.7 μB per cell
**D(E_F)**: 9.4 states/eV per cell
**Raw formation energy**: 24 kJ per mole of atoms
**Mass density**: 2.84 Mg/m³

Lattice parameters (Å, degrees): 8.375 9.099 8.375 117.40 90.00 117.40
Fractional coordinates of all 8 atoms:
Br1 0.625 0.250 0.375
I1 0.000 0.000 0.000
Te1 0.500 0.000 0.500
Br2 0.625 0.750 0.375
Br3 0.125 0.750 0.375
Te2 0.750 0.500 0.250
I2 0.250 0.500 0.750
Br4 0.625 0.250 0.875

=====

A PBEsol-optimized structure of TeIBr2, computed with meta-GGA SCAN.

Properties
**Spin magnetization**: 0.0 μB per cell
**D(E_F)**: 2.7 states/eV per cell
**Raw formation energy**: 5 kJ per mole of atoms
**Mass density**: 5.41 Mg/m³

Lattice parameters (Å, degrees): 3.458 3.458 12.428 82.00 82.00 60.00
Fractional coordinates of all 4 atoms:
Br1 0.930 0.930 0.211
I1 0.500 0.500 0.500
Br2 0.070 0.070 0.789
Te1 0.000 0.000 0.000

=====

A PBEsol-optimized structure of Te2WIBr, computed with meta-GGA SCAN.

Properties
**Spin magnetization**: 0.0 μB per cell
**D(E_F)**: 3.3 states/eV per cell
**Raw formation energy**: 45 kJ per mole of atoms
**Mass density**: 7.32 Mg/m³

Lattice parameters (Å, degrees): 5.200 5.200 5.422 90.00 90.00 90.00
Fractional coordinates of all 5 atoms:
Te1 0.000 0.500 0.000
Te2 0.500 0.000 0.000
Br1 0.500 0.500 0.500
W1 0.000 0.000 0.000
I1 0.000 0.000 0.500

=====

A PBEsol-optimized structure of Tl3IBr, computed with meta-GGA SCAN.

Properties
**Spin magnetization**: 0.0 μB per cell
**D(E_F)**: 2.5 states/eV per cell
**Raw formation energy**: -6 kJ per mole of atoms
**Mass density**: 5.41 Mg/m³

Lattice parameters (Å, degrees): 6.312 6.312 6.312 90.00 90.00 90.00
Fractional coordinates of all 5 atoms:
Tl1 0.000 0.500 0.000
Tl2 0.500 0.000 0.000
Tl3 0.000 0.000 0.500
I1 0.000 0.000 0.000
Br1 0.500 0.500 0.500

=====

A PBEsol-optimized structure of Tl2I2Br, computed with meta-GGA SCAN.

Properties
**Spin magnetization**: 0.0 μB per cell
**D(E_F)**: 1.9 states/eV per cell
**Raw formation energy**: -38 kJ per mole of atoms
**Mass density**: 6.68 Mg/m³

Lattice parameters (Å, degrees): 4.768 4.768 8.793 105.73 105.73 90.00
Fractional coordinates of all 5 atoms:
Br1 0.000 0.000 0.000
I1 0.750 0.250 0.500
Tl1 0.599 0.599 0.198
Tl2 0.401 0.401 0.802
I2 0.250 0.750 0.500

=====

A PBEsol-optimized structure of Zn2IBr, computed with meta-GGA SCAN.

Properties
**Spin magnetization**: 0.0 μB per cell
**D(E_F)**: 1.1 states/eV per cell
**Raw formation energy**: 14 kJ per mole of atoms
**Mass density**: 6.19 Mg/m³

Lattice parameters (Å, degrees): 5.041 5.041 5.041 60.00 60.00 60.00
Fractional coordinates of all 4 atoms:
I1 0.500 0.500 0.500
Br1 0.000 0.000 0.000
Zn1 0.250 0.250 0.250
Zn2 0.750 0.750 0.750

=====

A PBEsol-optimized structure of InBr, computed with meta-GGA SCAN.

Properties
**Spin magnetization**: 0.0 μB per cell
**Raw formation energy**: -58 kJ per mole of atoms
**Mass density**: 5.68 Mg/m³

Lattice parameters (Å, degrees): 3.810 5.323 6.498 114.18 107.05 90.00
Fractional coordinates of all 4 atoms:
In1 0.378 0.628 0.756
Br1 0.105 0.855 0.210
In2 0.622 0.372 0.244
Br2 0.895 0.145 0.790

=====

A PBEsol-optimized structure of InBr, computed with meta-GGA SCAN.

Properties
**Spin magnetization**: 0.0 μB per cell
**D(E_F)**: 0.0 states/eV per cell
**Raw formation energy**: -56 kJ per mole of atoms
**Mass density**: 3.85 Mg/m³

Lattice parameters (Å, degrees): 5.485 5.485 6.442 90.00 90.00 120.00
Fractional coordinates of all 4 atoms:
Br1 0.333 0.667 0.565
In1 0.333 0.667 0.064
Br2 0.667 0.333 0.065
In2 0.667 0.333 0.564

=====

A PBEsol-optimized structure of In2Br, computed with meta-GGA SCAN.

Properties
**Spin magnetization**: 0.0 μB per cell
**D(E_F)**: 0.9 states/eV per cell
**Raw formation energy**: -28 kJ per mole of atoms
**Mass density**: 5.44 Mg/m³

Lattice parameters (Å, degrees): 4.295 4.295 5.119 90.00 90.00 90.00
Fractional coordinates of all 3 atoms:
Br1 0.000 0.000 0.000
In1 0.500 0.000 0.500
In2 0.000 0.500 0.500

=====

A PBEsol-optimized structure of In2Br, computed with meta-GGA SCAN.

Properties
**Spin magnetization**: 0.0 μB per cell
**D(E_F)**: 1.3 states/eV per cell
**Raw formation energy**: -31 kJ per mole of atoms
**Mass density**: 6.31 Mg/m³

Lattice parameters (Å, degrees): 3.563 5.975 9.793 123.21 90.00 107.34
Fractional coordinates of all 6 atoms:
In1 0.069 0.137 0.638
In2 0.332 0.664 0.640
Br1 0.972 0.945 0.949
In3 0.398 0.795 0.303
Br2 0.666 0.331 0.330
In4 0.730 0.460 0.973

=====

A PBEsol-optimized structure of InBr3, computed with meta-GGA SCAN.

Properties
**Spin magnetization**: 0.0 μB per cell
**D(E_F)**: 0.0 states/eV per cell
**Raw formation energy**: -81 kJ per mole of atoms
**Mass density**: 4.60 Mg/m³

Lattice parameters (Å, degrees): 3.961 7.407 9.581 72.68 78.07 74.49
Fractional coordinates of all 8 atoms:
Br1 0.345 0.661 0.649
Br2 0.652 0.721 0.975
Br3 0.348 0.279 0.025
Br4 0.061 0.161 0.717
In1 0.134 0.542 0.190
Br5 0.655 0.339 0.351
In2 0.866 0.458 0.810
Br6 0.939 0.839 0.283

=====

A PBEsol-optimized structure of InBr2, computed with meta-GGA SCAN.

Properties
**Spin magnetization**: 0.0 μB per cell
**D(E_F)**: 3.6 states/eV per cell
**Raw formation energy**: -49 kJ per mole of atoms
**Mass density**: 5.60 Mg/m³

Lattice parameters (Å, degrees): 5.962 5.962 5.962 72.41 69.58 110.42
Fractional coordinates of all 6 atoms:
Br1 0.500 0.306 0.806
Br2 0.888 0.194 0.306
In1 0.000 0.250 0.750
In2 0.000 0.750 0.250
Br3 0.112 0.806 0.694
Br4 0.500 0.694 0.194

=====

A PBEsol-optimized structure of InBr3, computed with meta-GGA SCAN.

Properties
**Spin magnetization**: 0.0 μB per cell
**D(E_F)**: 0.0 states/eV per cell
**Raw formation energy**: -80 kJ per mole of atoms
**Mass density**: 4.03 Mg/m³

Lattice parameters (Å, degrees): 6.981 7.533 11.101 90.00 90.00 90.00
Fractional coordinates of all 16 atoms:
Br1 0.872 0.325 0.589
Br2 0.296 0.649 0.750
Br3 0.372 0.175 0.589
In1 0.848 0.650 0.250
In2 0.152 0.350 0.750
In3 0.652 0.150 0.750
Br4 0.128 0.675 0.411
Br5 0.128 0.675 0.089
Br6 0.204 0.149 0.250
Br7 0.872 0.325 0.911
Br8 0.628 0.825 0.089
Br9 0.796 0.851 0.750
In4 0.348 0.850 0.250
Br10 0.628 0.825 0.411
Br11 0.704 0.351 0.250
Br12 0.372 0.175 0.911

=====

A PBEsol-optimized structure of InBr2, computed with meta-GGA SCAN.

Properties
**Spin magnetization**: 0.9 μB per cell
**D(E_F)**: 1.3 states/eV per cell
**Raw formation energy**: -62 kJ per mole of atoms
**Mass density**: 5.00 Mg/m³

Lattice parameters (Å, degrees): 6.239 4.107 4.107 120.00 90.00 90.00
Fractional coordinates of all 3 atoms:
Br1 0.270 0.333 0.667
In1 0.000 0.000 0.000
Br2 0.730 0.667 0.333

=====

A PBEsol-optimized structure of InBr2, computed with meta-GGA SCAN.

Properties
**Spin magnetization**: 0.0 μB per cell
**D(E_F)**: 0.0 states/eV per cell
**Raw formation energy**: -81 kJ per mole of atoms
**Mass density**: 4.46 Mg/m³

Lattice parameters (Å, degrees): 7.830 10.142 10.293 90.00 90.00 90.00
Fractional coordinates of all 24 atoms:
Br1 0.653 0.694 0.544
In1 0.329 0.750 0.750
Br2 0.347 0.194 0.044
Br3 0.507 0.548 0.180
Br4 0.153 0.806 0.044
Br5 0.847 0.306 0.544
In2 0.250 0.500 0.320
In3 0.250 0.000 0.180
Br6 0.493 0.048 0.680
Br7 0.153 0.694 0.456
In4 0.829 0.750 0.250
Br8 0.847 0.194 0.956
In5 0.171 0.250 0.750
Br9 0.993 0.048 0.320
Br10 0.007 0.548 0.820
Br11 0.347 0.306 0.456
Br12 0.493 0.452 0.820
In6 0.750 0.000 0.820
Br13 0.007 0.952 0.680
Br14 0.653 0.806 0.956
Br15 0.993 0.452 0.180
In7 0.750 0.500 0.680
Br16 0.507 0.952 0.320
In8 0.671 0.250 0.250

=====

A PBEsol-optimized structure of In4Br7, computed with meta-GGA SCAN.

Properties
**Spin magnetization**: 0.0 μB per cell
**D(E_F)**: 0.0 states/eV per cell
**Raw formation energy**: -78 kJ per mole of atoms
**Mass density**: 4.55 Mg/m³

Lattice parameters (Å, degrees): 7.487 7.487 15.901 76.38 76.38 60.00
Fractional coordinates of all 22 atoms:
In1 0.150 0.150 0.549
Br1 0.653 0.653 0.041
Br2 0.635 0.092 0.181
Br3 0.365 0.908 0.819
Br4 0.366 0.366 0.398
Br5 0.634 0.130 0.602
In2 0.584 0.584 0.248
In3 0.000 0.000 0.000
Br6 0.870 0.366 0.398
In4 0.850 0.850 0.451
Br7 0.092 0.092 0.181
Br8 0.908 0.365 0.819
In5 0.500 0.500 0.500
Br9 0.908 0.908 0.819
Br10 0.366 0.870 0.398
Br11 0.347 0.347 0.959
Br12 0.130 0.634 0.602
In6 0.292 0.292 0.123
In7 0.416 0.416 0.752
In8 0.708 0.708 0.877
Br13 0.634 0.634 0.602
Br14 0.092 0.635 0.181

=====

A PBEsol-optimized structure of InBr, computed with meta-GGA SCAN.

Properties
**Spin magnetization**: 0.0 μB per cell
**Raw formation energy**: -60 kJ per mole of atoms
**Mass density**: 4.94 Mg/m³

Lattice parameters (Å, degrees): 4.232 4.227 4.227 120.00 90.00 90.00
Fractional coordinates of all 2 atoms:
Br1 0.000 0.000 0.000
In1 0.500 0.333 0.667

=====

A PBEsol-optimized structure of InBr3, computed with meta-GGA SCAN.

Properties
**Spin magnetization**: 0.0 μB per cell
**D(E_F)**: 0.0 states/eV per cell
**Raw formation energy**: -89 kJ per mole of atoms
**Mass density**: 4.65 Mg/m³

Lattice parameters (Å, degrees): 6.751 6.751 6.783 80.73 80.73 120.10
Fractional coordinates of all 8 atoms:
Br1 0.773 0.773 0.243
In1 0.834 0.166 0.000
Br2 0.227 0.227 0.757
Br3 0.928 0.577 0.759
In2 0.166 0.834 0.000
Br4 0.577 0.928 0.759
Br5 0.423 0.072 0.241
Br6 0.072 0.423 0.241

=====

A PBEsol-optimized structure of InBr5, computed with meta-GGA SCAN.

Properties
**Spin magnetization**: 0.0 μB per cell
**D(E_F)**: 6.7 states/eV per cell
**Raw formation energy**: 28 kJ per mole of atoms
**Mass density**: 5.32 Mg/m³

Lattice parameters (Å, degrees): 6.100 6.100 6.100 60.00 60.00 60.00
Fractional coordinates of all 6 atoms:
Br1 0.127 0.624 0.624
Br2 0.624 0.127 0.624
Br3 0.624 0.624 0.624
In1 0.000 0.000 0.000
Br4 0.250 0.250 0.250
Br5 0.624 0.624 0.127